DFT (PBE-GGA) results for an optimized crystal structure of CeEr2F11.

* crystal system: orthorhombic
* density: 4.86 g/cm3
* N(E_F): 0.38 states/eV/cell
* volume: 467.3 Å³ per cell
* SG: Ibam
* DFT total energy: -6.21 eV/atom
* formation energy without anion corrections: -3.66 eV per atom

Cell lengths 8.5940, 8.5940, 8.5940 Å; angles 122.59, 107.35, 99.39 degrees
With the nearest neighbours (Å) after each atom.
Sites, in units of the cell vectors:
Ce (0.2500, 0.2500, 0.0000)  8 F 2.27-2.29
Ce (0.7500, 0.7500, 0.0000)  8 F 2.27-2.29
Er (0.1903, 0.6585, 0.8488)  7 F 2.17-2.34
Er (0.3097, 0.1585, 0.4683)  7 F 2.17-2.34
Er (0.6903, 0.8415, 0.5317)  7 F 2.17-2.34
Er (0.8097, 0.3415, 0.1512)  7 F 2.17-2.34
F (0.0000, 0.5000, 0.5000)  2 F 2.17, 2 Er 2.34
F (0.0292, 0.9585, 0.2715)  1 Er 2.17, 1 Ce 2.27
F (0.0559, 0.3423, 0.1305)  1 Er 2.17, 1 Ce 2.29
F (0.1870, 0.4585, 0.9294)  1 Er 2.17, 1 Ce 2.27
F (0.1932, 0.3894, 0.5827)  1 F 2.17, 2 Er 2.22-2.25
F (0.2118, 0.9254, 0.8695)  1 Er 2.17, 1 Ce 2.29
F (0.2882, 0.1577, 0.7136)  1 Er 2.17, 1 Ce 2.29
F (0.3068, 0.8894, 0.1962)  1 F 2.17, 2 Er 2.22-2.25
F (0.3130, 0.2424, 0.2715)  1 Er 2.17, 1 Ce 2.27
F (0.4441, 0.5746, 0.2864)  1 Er 2.17, 1 Ce 2.29
F (0.4708, 0.7424, 0.9294)  1 Er 2.17, 1 Ce 2.27
F (0.5000, 0.0000, 0.5000)  2 F 2.17, 2 Er 2.34
F (0.5292, 0.2576, 0.0706)  1 Er 2.17, 1 Ce 2.27
F (0.5559, 0.4254, 0.7136)  1 Er 2.17, 1 Ce 2.29
F (0.6870, 0.7576, 0.7285)  1 Er 2.17, 1 Ce 2.27
F (0.6932, 0.1106, 0.8038)  1 F 2.17, 2 Er 2.22-2.25
F (0.7118, 0.8423, 0.2864)  1 Er 2.17, 1 Ce 2.29
F (0.7882, 0.0746, 0.1305)  1 Er 2.17, 1 Ce 2.29
F (0.8068, 0.6106, 0.4173)  1 F 2.17, 2 Er 2.22-2.25
F (0.8130, 0.5415, 0.0706)  1 Er 2.17, 1 Ce 2.27
F (0.9441, 0.6577, 0.8695)  1 Er 2.17, 1 Ce 2.29
F (0.9708, 0.0415, 0.7285)  1 Er 2.17, 1 Ce 2.27